1:
Mg5In2Ga2 after structural relaxation. Source: Alexandria via LeMat-Bulk, functional PBE-GGA.

Cell: 9.754 9.754 9.754 Å, 61.47 136.11 139.19°
Sites, in units of the cell vectors:
Mg  0.217  0.648  0.882
Mg  0.217  0.835  0.069
Mg  0.220  0.114  0.334
Mg  0.220  0.386  0.606
Mg  0.674  0.472  0.702
Mg  0.766  0.148  0.931
Mg  0.766  0.335  0.118
Mg  0.770  0.972  0.298
Mg  0.780  0.614  0.394
Mg  0.780  0.886  0.666
In  0.227  0.016  0.710
In  0.283  0.283  0.000
In  0.283  0.783  0.500
In  0.306  0.516  0.290
Ga  0.672  0.140  0.388
Ga  0.672  0.784  0.031
Ga  0.753  0.284  0.612
Ga  0.753  0.640  0.969

## Properties
**Fermi-level density of states**: 4.2 states/eV/f.u.
**SG**: Ima2
**Crystal system**: orthorhombic



2:
Mg5In2Ga2 after structural relaxation. Source: Alexandria via LeMat-Bulk, functional PBE-GGA.

Cell: 9.339 9.339 6.783 Å, 90.00 90.00 43.11°
Sites, in units of the cell vectors:
Mg  0.000  0.000  0.000
Mg  0.055  0.703  0.675
Mg  0.203  0.555  0.175
Mg  0.297  0.945  0.675
Mg  0.445  0.797  0.175
Mg  0.500  0.500  0.500
Mg  0.555  0.203  0.825
Mg  0.703  0.055  0.325
Mg  0.797  0.445  0.825
Mg  0.945  0.297  0.325
In  0.232  0.232  0.000
In  0.268  0.268  0.500
In  0.732  0.732  0.500
In  0.768  0.768  0.000
Ga  0.133  0.867  0.369
Ga  0.367  0.633  0.869
Ga  0.633  0.367  0.131
Ga  0.867  0.133  0.631

## Properties
**Fermi-level density of states**: 3.9 states/eV/f.u.
**SG**: Cmce
**Crystal system**: orthorhombic



Of the structures shown above, 1 is the least stable.